! Na2CaGaO4 | the Alexandria database | PBE-GGA | relaxed; values from VASP
&SYSTEM
  ibrav = 0, nat = 8, ntyp = 4
/
ATOMIC_SPECIES
Na 22.99 Na.upf
Ca 40.08 Ca.upf
Ga 69.72 Ga.upf
O 16.00 O.upf
ATOMIC_POSITIONS crystal
Na 0.000 0.000 0.000
Na 0.500 0.500 0.000
Ca 0.000 0.500 0.500
Ga 0.500 0.000 0.500
O 0.278 0.000 0.709
O 0.285 0.500 0.292
O 0.715 0.500 0.708
O 0.722 0.000 0.291
CELL_PARAMETERS angstrom
5.637 0.000 0.000
0.000 3.219 0.000
-1.891 0.000 5.495
! space-group type	P2/m (10)
! E_form (uncorrected)	-14.1	eV per formula unit

=====

! SmBCl | the Alexandria database | PBE-GGA | relaxed; values from VASP
&SYSTEM
  ibrav = 0, nat = 12, ntyp = 3
/
ATOMIC_SPECIES
Sm 150.36 Sm.upf
B 10.81 B.upf
Cl 35.45 Cl.upf
ATOMIC_POSITIONS crystal
Sm 0.000 0.000 0.135
Sm 0.000 0.000 0.865
Sm 0.500 0.500 0.365
Sm 0.500 0.500 0.635
B 0.245 0.000 0.000
B 0.255 0.500 0.500
B 0.745 0.500 0.500
B 0.755 0.000 0.000
Cl 0.000 0.000 0.320
Cl 0.000 0.000 0.680
Cl 0.500 0.500 0.180
Cl 0.500 0.500 0.820
CELL_PARAMETERS angstrom
3.251 0.000 0.000
0.000 4.557 0.000
0.000 0.000 18.104
! energy above the most stable polymorph in this dataset	37.1	kJ per mole of atoms
! space-group type	Immm (71)
! E_form (uncorrected)	-2.4	eV per formula unit

=====

! AlCdMo | the Alexandria database | PBE-GGA | relaxed; values from VASP
&SYSTEM
  ibrav = 0, nat = 3, ntyp = 3
/
ATOMIC_SPECIES
Al 26.98 Al.upf
Cd 112.41 Cd.upf
Mo 95.94 Mo.upf
ATOMIC_POSITIONS crystal
Al 0.000 0.000 0.000
Cd 0.667 0.333 0.353
Mo 0.333 0.667 0.701
CELL_PARAMETERS angstrom
2.911 0.000 0.000
-1.455 2.521 0.000
0.000 0.000 7.180
! energy above the most stable polymorph in this dataset	0.0	kJ per mole of atoms
! space-group type	P3m1 (156)
! ΔE_f	0.22	eV/atom

=====

! TaCrIn | the Alexandria database | PBE-GGA | relaxed; values from VASP
&SYSTEM
  ibrav = 0, nat = 12, ntyp = 3
/
ATOMIC_SPECIES
Ta 180.95 Ta.upf
Cr 52.00 Cr.upf
In 114.82 In.upf
ATOMIC_POSITIONS crystal
Ta 0.000 0.000 0.000
Ta 0.000 0.500 0.500
Ta 0.500 0.000 0.500
Ta 0.500 0.500 0.000
Cr 0.250 0.250 0.250
Cr 0.250 0.750 0.750
Cr 0.750 0.250 0.750
Cr 0.750 0.750 0.250
In 0.250 0.250 0.750
In 0.250 0.750 0.250
In 0.750 0.250 0.250
In 0.750 0.750 0.750
CELL_PARAMETERS angstrom
6.425 0.000 0.000
0.000 6.425 0.000
0.000 0.000 6.425
! energy above the most stable polymorph in this dataset	88.3	kJ per mole of atoms
! space-group type	F-43m (216)
! ΔE_f	1.13	eV/atom

=====

! Cu2NiBi2 | the Alexandria database | PBE-GGA | relaxed; values from VASP
&SYSTEM
  ibrav = 0, nat = 10, ntyp = 3
/
ATOMIC_SPECIES
Cu 63.55 Cu.upf
Ni 58.69 Ni.upf
Bi 208.98 Bi.upf
ATOMIC_POSITIONS crystal
Cu 0.130 0.370 0.000
Cu 0.370 0.870 0.000
Cu 0.630 0.130 0.000
Cu 0.870 0.630 0.000
Ni 0.000 0.000 0.000
Ni 0.500 0.500 0.000
Bi 0.179 0.679 0.500
Bi 0.321 0.179 0.500
Bi 0.679 0.821 0.500
Bi 0.821 0.321 0.500
CELL_PARAMETERS angstrom
6.829 0.000 0.000
0.000 6.829 0.000
0.000 0.000 4.060
! space-group type	P4/mbm (127)
! ΔE_f	0.29	eV/atom

=====

! SmCo9B4 | the Alexandria database | PBE-GGA | relaxed; values from VASP
&SYSTEM
  ibrav = 0, nat = 28, ntyp = 3
/
ATOMIC_SPECIES
Sm 150.36 Sm.upf
Co 58.93 Co.upf
B 10.81 B.upf
ATOMIC_POSITIONS crystal
Sm 0.250 0.250 0.000
Sm 0.750 0.750 0.000
Co 0.000 0.500 0.500
Co 0.021 0.818 0.500
Co 0.084 0.807 0.891
Co 0.182 0.682 0.203
Co 0.193 0.084 0.277
Co 0.307 0.584 0.891
Co 0.318 0.521 0.500
Co 0.416 0.307 0.723
Co 0.479 0.979 0.797
Co 0.500 0.000 0.500
Co 0.521 0.021 0.203
Co 0.584 0.693 0.277
Co 0.682 0.479 0.500
Co 0.693 0.416 0.109
Co 0.807 0.916 0.723
Co 0.818 0.318 0.797
Co 0.916 0.193 0.109
Co 0.979 0.182 0.500
B 0.000 0.500 0.209
B 0.000 0.500 0.791
B 0.209 0.000 0.500
B 0.291 0.791 0.791
B 0.500 0.291 0.500
B 0.500 0.709 0.500
B 0.709 0.209 0.209
B 0.791 0.000 0.500
CELL_PARAMETERS angstrom
-3.722 3.722 5.294
3.722 -3.722 5.294
3.722 3.722 -5.294
! space-group type	I4/mcm (140)
! ΔE_f	-0.20	eV/atom

=====

! Tb2NdSm4 | the Alexandria database | PBE-GGA | relaxed; values from VASP
&SYSTEM
  ibrav = 0, nat = 14, ntyp = 3
/
ATOMIC_SPECIES
Tb 158.93 Tb.upf
Nd 144.24 Nd.upf
Sm 150.36 Sm.upf
ATOMIC_POSITIONS crystal
Tb 0.000 0.000 0.225
Tb 0.000 0.000 0.775
Tb 0.500 0.500 0.275
Tb 0.500 0.500 0.725
Nd 0.000 0.000 0.500
Nd 0.500 0.500 0.000
Sm 0.000 0.500 0.138
Sm 0.000 0.500 0.413
Sm 0.000 0.500 0.587
Sm 0.000 0.500 0.862
Sm 0.500 0.000 0.087
Sm 0.500 0.000 0.362
Sm 0.500 0.000 0.638
Sm 0.500 0.000 0.913
CELL_PARAMETERS angstrom
3.570 0.000 0.000
0.000 5.799 0.000
0.000 0.000 23.051
! energy above the most stable polymorph in this dataset	0.0	kJ per mole of atoms
! space-group type	Immm (71)
! ΔE_f	0.09	eV/atom

=====

! GaHg6Pd12 | the Alexandria database | PBE-GGA | relaxed; values from VASP
&SYSTEM
  ibrav = 0, nat = 19, ntyp = 3
/
ATOMIC_SPECIES
Ga 69.72 Ga.upf
Hg 200.59 Hg.upf
Pd 106.42 Pd.upf
ATOMIC_POSITIONS crystal
Ga 0.000 0.000 0.000
Hg 0.168 0.179 0.441
Hg 0.179 0.441 0.168
Hg 0.441 0.168 0.179
Hg 0.559 0.832 0.821
Hg 0.821 0.559 0.832
Hg 0.832 0.821 0.559
Pd 0.007 0.754 0.248
Pd 0.182 0.599 0.585
Pd 0.246 0.752 0.993
Pd 0.248 0.007 0.754
Pd 0.401 0.415 0.818
Pd 0.415 0.818 0.401
Pd 0.585 0.182 0.599
Pd 0.599 0.585 0.182
Pd 0.752 0.993 0.246
Pd 0.754 0.248 0.007
Pd 0.818 0.401 0.415
Pd 0.993 0.246 0.752
CELL_PARAMETERS angstrom
5.540 3.198 3.192
-5.540 3.198 3.192
0.000 -6.397 3.192
! space-group type	R-3 (148)
! ΔE_f	-0.05	eV/atom

=====

| no. | V (Å³/cell) |
| --- | --- |
| 1 | 100 |
| 2 | 268 |
| 3 | 53 |
| 4 | 265 |
| 5 | 189 |
| 6 | 293 |
| 7 | 477 |
| 8 | 339 |